[1]
The following is a DFT calculation (PBE-GGA) of crystalline V2AgIr at its relaxed geometry.

Results
Calculated formation energy in meV per atom: 435
Total moment in μB per cell: 0.00

abc: 7.023 7.023 5.334
angles: 90.00 90.00 90.00
Space group I-42d (No. 122)
Symmetry-distinct sites (fractional):
V1 0.213 0.250 0.125
Ag1 0.000 0.000 0.500
Ir1 0.000 0.000 0.000

---

[2]
The following is a DFT calculation (PBE-GGA) of crystalline PmZn9Ir2 at its relaxed geometry.

Results
Calculated formation energy in meV per atom: -281
Total moment in μB per cell: 0.00

abc: 10.558 10.558 6.967
angles: 90.00 90.00 90.00
Space group I4_1/amd (No. 141, origin choice 2)
Symmetry-distinct sites (fractional):
Pm1 0.000 0.250 0.375
Zn1 0.000 0.250 0.875
Zn2 0.122 0.043 0.681
Ir1 0.000 0.000 0.000

---

[3]
The following is a DFT calculation (PBE-GGA) of crystalline KSrPb at its relaxed geometry.

Results
Offset from the most stable computed form in meV/atom: 48.4
Calculated formation energy in meV per atom: -164
Total moment in μB per cell: 0.00

abc: 5.8240 5.8240 3.9474
angles: 90.00 90.00 120.00
Space group P3m1 (No. 156)
Symmetry-distinct sites (fractional):
K1 0.0000 0.0000 0.0000
Sr1 0.3333 0.6667 0.6642
Pb1 0.6667 0.3333 0.3202

---

[4]
The following is a DFT calculation (PBE-GGA) of crystalline La6Er2Th at its relaxed geometry.

Results
Offset from the most stable computed form in meV/atom: 45.6
Calculated formation energy in meV per atom: 104
Total moment in μB per cell: 0.00

abc: 9.417 18.248 3.686
angles: 90.00 99.52 90.00
Space group C2/m (No. 12)
Symmetry-distinct sites (fractional):
La1 0.171 0.172 0.321
La2 0.177 0.000 0.823
Er1 0.000 0.340 0.000
Th1 0.000 0.500 0.500

---

[5]
The following is a DFT calculation (PBE-GGA) of crystalline YPtRh3 at its relaxed geometry.

Results
Offset from the most stable computed form in meV/atom: 848.1
Calculated formation energy in meV per atom: 1445
Total moment in μB per cell: 1.86

abc: 4.808 4.808 4.808
angles: 90.00 90.00 90.00
Space group Pm-3m (No. 221)
Symmetry-distinct sites (fractional):
Y1 0.000 0.000 0.000
Pt1 0.500 0.500 0.500
Rh1 0.000 0.000 0.500

---

[6]
The following is a DFT calculation (PBE-GGA) of crystalline Ba3MnCu2S6 at its relaxed geometry.

Results
ΔE_f (raw) in kJ/mol of formula units: -1217.7
Total moment in μB per cell: 3.32

abc: 7.0281 7.0281 7.9373
angles: 90.00 90.00 120.00
Space group P-3m1 (No. 164)
Symmetry-distinct sites (fractional):
Ba1 0.0000 0.0000 0.0000
Ba2 0.3333 0.6667 0.6404
Mn1 0.0000 0.0000 0.5000
Cu1 0.3333 0.6667 0.2489
S1 0.1583 0.3166 0.3086

---

[7]
The following is a DFT calculation (PBE-GGA) of crystalline La2NpCr2C4 at its relaxed geometry.

Results
Calculated formation energy in meV per atom: -10
Total moment in μB per cell: 7.32

abc: 13.433 3.487 6.103
angles: 90.00 109.17 90.00
Space group C2/m (No. 12)
Symmetry-distinct sites (fractional):
La1 0.132 0.000 0.031
Np1 0.000 0.000 0.500
Cr1 0.183 0.500 0.504
C1 0.047 0.500 0.281
C2 0.215 0.000 0.670

---

[8]
The following is a DFT calculation (PBE-GGA) of crystalline Nb2ZnCuP at its relaxed geometry.

Results
Calculated formation energy in meV per atom: 255
Total moment in μB per cell: 0.00

abc: 4.665 4.665 4.196
angles: 90.00 90.00 90.00
Space group P4/mmm (No. 123)
Symmetry-distinct sites (fractional):
Nb1 0.000 0.500 0.000
Zn1 0.000 0.000 0.500
Cu1 0.500 0.500 0.500
P1 0.500 0.500 0.000